Record 1
First-principles (PBE-GGA) data for a relaxed structure of PrCo2Ge2, as listed in Alexandria.

Cell: 5.926 5.926 5.926 Å, 140.26 140.26 57.45°
Fractional positions:
Pr 0.000 0.000 0.000
Co 0.250 0.750 0.500
Co 0.750 0.250 0.500
Ge 0.367 0.367 0.000
Ge 0.633 0.633 0.000

Calculated values
DFT formation energy = -0.582 eV/atom
Crystal system = tetragonal
Final energy = -31.1 eV/cell

Record 2
First-principles (PBE-GGA) data for a relaxed structure of Pr2CoGe5, as listed in Alexandria.

Cell: 6.305 6.305 6.305 Å, 122.19 122.19 86.25°
Fractional positions:
Pr 0.000 0.500 0.500
Pr 0.500 0.000 0.500
Co 0.204 0.204 0.000
Ge 0.517 0.517 0.552
Ge 0.517 0.965 0.000
Ge 0.951 0.951 0.000
Ge 0.965 0.517 0.000
Ge 0.965 0.965 0.448

Calculated values
DFT formation energy = -0.406 eV/atom
Crystal system = tetragonal
Final energy = -43.0 eV/cell